ZnRhW2: optimized geometry, PBE.

Unit cell a=5.0647 b=5.0647 c=5.0647 alpha=136.76 beta=136.76 gamma=62.80
Sites, in units of the cell vectors:
W (0.5000, 0.5000, 0.0000)
W (0.0000, 0.0000, 0.0000)
Zn (0.2500, 0.7500, 0.5000)
Rh (0.7500, 0.2500, 0.5000)

Properties
space group = No. 139
density of states at the Fermi level = 0.652 states/eV per atom
formation enthalpy at 0 K = 0.09 eV/atom
spin magnetization = 0.00 μB per cell
final energy = -0.628 Ry/atom